First-principles (GGA-PBE) data for Pm7SmSn2 after structural relaxation, as listed in the Alexandria database.

## Properties
ΔE_f ... 162 meV/atom
D(E_F) ... 21.58 states/eV per cell
Volume ... 411.4 Å³ per cell

Structure (CIF):
```
data_Pm7SmSn2
_chemical_formula_sum 'Pm7 Sm1 Sn2'
_symmetry_space_group_name_H-M 'P 1'
_symmetry_Int_Tables_number 1
_symmetry_space_group_name_Hall 'P 1'
_cell_length_a 5.666
_cell_length_b 9.100
_cell_length_c 9.100
_cell_angle_alpha 118.75
_cell_angle_beta 90.00
_cell_angle_gamma 90.00
loop_
_atom_site_label
_atom_site_type_symbol
_atom_site_fract_x
_atom_site_fract_y
_atom_site_fract_z
Pm1 Pm 0.500 0.695 0.943
Pm2 Pm 0.500 0.943 0.695
Pm3 Pm 0.000 0.768 0.232
Pm4 Pm 0.000 0.232 0.768
Pm5 Pm 0.500 0.305 0.057
Pm6 Pm 0.500 0.500 0.500
Pm7 Pm 0.500 0.057 0.305
Sm1 Sm 0.000 0.000 0.000
Sn1 Sn 0.500 0.697 0.303
Sn2 Sn 0.500 0.303 0.697
```